A relaxed Mg2CdW crystal, computed with PBE-GGA.

The calculation puts the energy of formation from the pure elements at 503 meV per atom. Its density of states at the Fermi level is 0.4239 states/eV per atom. The calculation puts the spin magnetization at 0.00 μB per cell.

The space group is Pmmm (No. 47) and the conventional cell measures 3.084, 4.833 and 4.997 Å, with angles of 90.00, 90.00 and 90.00 degrees. The inequivalent atoms are Mg at (0.000, 0.000, 0.000), Mg at (0.500, 0.000, 0.500), Cd at (0.000, 0.500, 0.500) and W at (0.500, 0.500, 0.000).

***

A relaxed Y2TmGa2Cu2 crystal, computed with PBE-GGA.

The calculation puts the energy of formation from the pure elements at -410 meV per atom. Its density of states at the Fermi level is 0.5261 states/eV per atom. The calculation puts the spin magnetization at 0.00 μB per cell.

The space group is R-3m (No. 166, hexagonal axes) and the conventional cell measures 4.3435, 4.3435 and 27.7397 Å, with angles of 90.00, 90.00 and 120.00 degrees. The inequivalent atoms are Y at (0.0000, 0.0000, 0.1226), Tm at (0.0000, 0.0000, 0.0000), Ga at (0.0000, 0.0000, 0.2667) and Cu at (0.0000, 0.0000, 0.3936).

***

A relaxed HgS2N crystal, computed with PBE-GGA.

Its density of states at the Fermi level is 0.5441 states/eV per atom. For the formation energy from raw total energies, the calculation gives 0.481 eV/atom. The calculation puts the spin magnetization at 0.00 μB per cell.

The space group is R-3m (No. 166, hexagonal axes) and the conventional cell measures 3.6138, 3.6138 and 25.4020 Å, with angles of 90.00, 90.00 and 120.00 degrees. The inequivalent atoms are Hg at (0.0000, 0.0000, 0.0000), S at (0.0000, 0.0000, 0.4397) and N at (0.0000, 0.0000, 0.5000).

***

A relaxed Hg2SeBr crystal, computed with PBE-GGA.

Its density of states at the Fermi level is 0.4568 states/eV per atom. For the formation energy from raw total energies, the calculation gives 0.033 eV/atom. The calculation puts the spin magnetization at 0.00 μB per cell.

The space group is I4/mmm (No. 139) and the conventional cell measures 6.104, 6.104 and 5.914 Å, with angles of 90.00, 90.00 and 90.00 degrees. The inequivalent atoms are Hg at (0.000, 0.500, 0.000), Se at (0.000, 0.000, 0.000) and Br at (0.000, 0.000, 0.500).

***

A relaxed HfZr4Ru crystal, computed with PBE-GGA.

The calculation puts the energy of formation from the pure elements at -200 meV per atom. Its density of states at the Fermi level is 0.7529 states/eV per atom. The calculation puts the spin magnetization at 0.00 μB per cell.

The space group is C2/m (No. 12) and the conventional cell measures 10.383, 4.889 and 5.993 Å, with angles of 90.00, 124.15 and 90.00 degrees. The inequivalent atoms are Hf at (0.000, 0.000, 0.000), Zr at (0.150, 0.500, 0.810), Zr at (0.203, 0.500, 0.346) and Ru at (0.000, 0.000, 0.500).

***

A relaxed Na5CdBi2 crystal, computed with PBE-GGA.

The calculation puts the energy of formation from the pure elements at -250 meV per atom. Its density of states at the Fermi level is 0.3962 states/eV per atom. The calculation puts the spin magnetization at 0.00 μB per cell.

The space group is P6_3/mmc (No. 194) and the conventional cell measures 5.5131, 5.5131 and 19.9538 Å, with angles of 90.00, 90.00 and 120.00 degrees. The inequivalent atoms are Na at (0.0000, 0.0000, 0.1446), Na at (0.3333, 0.6667, 0.0569), Na at (0.3333, 0.6667, 0.2500), Cd at (0.3333, 0.6667, 0.7500) and Bi at (0.3333, 0.6667, 0.6078).

***

A relaxed Ac2Be3PdPt4 crystal, computed with PBE-GGA.

The calculation puts the energy of formation from the pure elements at -779 meV per atom. Its density of states at the Fermi level is 0.2630 states/eV per atom. The calculation puts the spin magnetization at 0.00 μB per cell.

The space group is P-4m2 (No. 115) and the conventional cell measures 4.151, 4.151 and 10.569 Å, with angles of 90.00, 90.00 and 90.00 degrees. The inequivalent atoms are Ac at (0.000, 0.500, 0.250), Be at (0.000, 0.000, 0.000), Be at (0.000, 0.500, 0.607), Pd at (0.500, 0.500, 0.000), Pt at (0.000, 0.000, 0.500), Pt at (0.000, 0.500, 0.834) and Pt at (0.500, 0.500, 0.500).

***

A relaxed Sr2Hg2IO6 crystal, computed with PBE-GGA.

Its density of states at the Fermi level is 0.1497 states/eV per atom. For the formation energy from raw total energies, the calculation gives -1.212 eV/atom. The calculation puts the spin magnetization at 0.00 μB per cell.

The space group is C2/m (No. 12) and the conventional cell measures 6.047, 10.845 and 7.060 Å, with angles of 90.00, 96.59 and 90.00 degrees. The inequivalent atoms are Sr at (0.000, 0.166, 0.000), Hg at (0.000, 0.283, 0.500), I at (0.000, 0.500, 0.000), O at (0.106, 0.370, 0.845) and O at (0.215, 0.000, 0.856).

***

A relaxed Sr2GaAs crystal, computed with PBE-GGA.

The calculation puts the energy of formation from the pure elements at -401 meV per atom. Its density of states at the Fermi level is 0.4088 states/eV per atom. The calculation puts the spin magnetization at 0.00 μB per cell.

The space group is I-42d (No. 122) and the conventional cell measures 8.500, 8.500 and 7.431 Å, with angles of 90.00, 90.00 and 90.00 degrees. The inequivalent atoms are Sr at (0.225, 0.250, 0.125), Ga at (0.000, 0.000, 0.500) and As at (0.000, 0.000, 0.000).

***

A relaxed La4IrAu3 crystal, computed with PBE-GGA.

The calculation puts the energy of formation from the pure elements at -784 meV per atom. Its density of states at the Fermi level is 0.5293 states/eV per atom. The calculation puts the spin magnetization at 0.00 μB per cell.

The space group is P2/c (No. 13) and the conventional cell measures 7.599, 8.749 and 7.475 Å, with angles of 90.00, 109.35 and 90.00 degrees. The inequivalent atoms are La at (0.228, 0.118, 0.003), La at (0.237, 0.355, 0.483), Ir at (0.000, 0.122, 0.250), Au at (0.000, 0.380, 0.750), Au at (0.500, 0.123, 0.750) and Au at (0.500, 0.386, 0.250).

***

A relaxed Tb6ZnSe3S2 crystal, computed with PBE-GGA.

Its density of states at the Fermi level is 0.3982 states/eV per atom. For the formation energy from raw total energies, the calculation gives -1.624 eV/atom. The calculation puts the spin magnetization at 0.00 μB per cell.

The space group is C2/m (No. 12) and the conventional cell measures 6.998, 12.100 and 7.076 Å, with angles of 90.00, 109.18 and 90.00 degrees. The inequivalent atoms are Tb at (0.243, 0.000, 0.235), Tb at (0.246, 0.332, 0.236), Zn at (0.000, 0.500, 0.000), Se at (0.000, 0.000, 0.500), Se at (0.000, 0.333, 0.500) and S at (0.000, 0.166, 0.000).

***

A relaxed CePmGd2 crystal, computed with PBE-GGA.

The calculation puts the energy of formation from the pure elements at 60 meV per atom. Its density of states at the Fermi level is 2.0787 states/eV per atom. The calculation puts the spin magnetization at 13.73 μB per cell.

The space group is P4/mmm (No. 123) and the conventional cell measures 3.554, 3.554 and 10.114 Å, with angles of 90.00, 90.00 and 90.00 degrees. The inequivalent atoms are Ce at (0.000, 0.000, 0.000), Pm at (0.000, 0.000, 0.500) and Gd at (0.500, 0.500, 0.239).

***

A relaxed Dy3Th crystal, computed with PBE-GGA.

The calculation puts the energy of formation from the pure elements at 50 meV per atom. Its density of states at the Fermi level is 1.8770 states/eV per atom. The calculation puts the spin magnetization at 0.00 μB per cell.

The space group is Pmm2 (No. 25) and the conventional cell measures 3.599, 5.768 and 6.175 Å, with angles of 90.00, 90.00 and 90.00 degrees. The inequivalent atoms are Dy at (0.000, 0.000, 0.000), Dy at (0.000, 0.500, 0.340), Dy at (0.500, 0.500, 0.830) and Th at (0.500, 0.000, 0.490).

***

A relaxed Zr2TaTc crystal, computed with PBE-GGA.

The calculation puts the energy of formation from the pure elements at -68 meV per atom. Its density of states at the Fermi level is 0.9628 states/eV per atom. The calculation puts the spin magnetization at 0.00 μB per cell.

The space group is Pm (No. 6) and the conventional cell measures 3.116, 4.504 and 5.677 Å, with angles of 90.00, 104.18 and 90.00 degrees. The inequivalent atoms are Zr at (0.000, 0.000, 0.000), Zr at (0.293, 0.500, 0.720), Ta at (0.700, 0.500, 0.261) and Tc at (0.503, 0.000, 0.476).

***

A relaxed Dy2HoTl2 crystal, computed with PBE-GGA.

The calculation puts the energy of formation from the pure elements at -132 meV per atom. Its density of states at the Fermi level is 1.2686 states/eV per atom. The calculation puts the spin magnetization at 0.00 μB per cell.

The space group is P-3m1 (No. 164) and the conventional cell measures 5.2431, 5.2431 and 6.4976 Å, with angles of 90.00, 90.00 and 120.00 degrees. The inequivalent atoms are Dy at (0.3333, 0.6667, 0.1730), Ho at (0.0000, 0.0000, 0.5000) and Tl at (0.3333, 0.6667, 0.6913).

***

A relaxed Al3PbF crystal, computed with PBE-GGA.

Its density of states at the Fermi level is 0.5373 states/eV per atom. For the formation energy from raw total energies, the calculation gives -0.207 eV/atom. The calculation puts the spin magnetization at 0.00 μB per cell.

The space group is Pm-3m (No. 221) and the conventional cell measures 4.685, 4.685 and 4.685 Å, with angles of 90.00, 90.00 and 90.00 degrees. The inequivalent atoms are Al at (0.000, 0.000, 0.500), Pb at (0.500, 0.500, 0.500) and F at (0.000, 0.000, 0.000).

***

A relaxed Tc2Te3 crystal, computed with PBE-GGA.

Its density of states at the Fermi level is 0.7875 states/eV per atom. For the formation energy from raw total energies, the calculation gives 0.206 eV/atom. The calculation puts the spin magnetization at 0.00 μB per cell.

The space group is Cc (No. 9) and the conventional cell measures 7.137, 15.693 and 4.674 Å, with angles of 90.00, 110.46 and 90.00 degrees. The inequivalent atoms are Tc at (0.000, 0.073, 0.000), Tc at (0.480, 0.285, 0.977), Te at (0.160, 0.226, 0.075), Te at (0.179, 0.388, 0.650) and Te at (0.208, 0.072, 0.608).

***

A relaxed Ba5Br4N crystal, computed with PBE-GGA.

Its density of states at the Fermi level is 0.7356 states/eV per atom. For the formation energy from raw total energies, the calculation gives -1.373 eV/atom. The calculation puts the spin magnetization at 0.01 μB per cell.

The space group is I4 (No. 79) and the conventional cell measures 10.306, 10.306 and 6.615 Å, with angles of 90.00, 90.00 and 90.00 degrees. The inequivalent atoms are Ba at (0.000, 0.000, 0.000), Ba at (0.091, 0.749, 0.539), Br at (0.087, 0.689, 0.036) and N at (0.000, 0.000, 0.588).

***

A relaxed TbPmScTe3 crystal, computed with PBE-GGA.

Its density of states at the Fermi level is 0.5433 states/eV per atom. For the formation energy from raw total energies, the calculation gives -1.206 eV/atom. The calculation puts the spin magnetization at 2.26 μB per cell.

The space group is P2_1/m (No. 11) and the conventional cell measures 8.786, 4.296 and 9.925 Å, with angles of 90.00, 104.33 and 90.00 degrees. The inequivalent atoms are Tb at (0.168, 0.250, 0.168), Pm at (0.326, 0.750, 0.763), Sc at (0.411, 0.750, 0.407), Te at (0.085, 0.250, 0.840), Te at (0.237, 0.250, 0.503) and Te at (0.404, 0.750, 0.114).

***

A relaxed Mg14ZnSb crystal, computed with PBE-GGA.

Its density of states at the Fermi level is 0.3938 states/eV per atom. For the formation energy from raw total energies, the calculation gives -0.030 eV/atom. The calculation puts the spin magnetization at 0.00 μB per cell.

The space group is Amm2 (No. 38) and the conventional cell measures 10.149, 6.460 and 10.980 Å, with angles of 90.00, 90.00 and 90.00 degrees. The inequivalent atoms are Mg at (0.000, 0.000, 0.000), Mg at (0.000, 0.000, 0.499), Mg at (0.000, 0.249, 0.247), Mg at (0.249, 0.000, 0.829), Mg at (0.256, 0.000, 0.332), Mg at (0.259, 0.244, 0.580), Mg at (0.500, 0.249, 0.752), Zn at (0.500, 0.000, 0.496) and Sb at (0.500, 0.000, 0.999).

***

A relaxed Sm5Cd2Sn2 crystal, computed with PBE-GGA.

The calculation puts the energy of formation from the pure elements at -439 meV per atom. Its density of states at the Fermi level is 1.0835 states/eV per atom. The calculation puts the spin magnetization at 0.00 μB per cell.

The space group is Cmce (No. 64) and the conventional cell measures 16.307, 8.203 and 8.185 Å, with angles of 90.00, 90.00 and 90.00 degrees. The inequivalent atoms are Sm at (0.000, 0.000, 0.000), Sm at (0.144, 0.174, 0.329), Cd at (0.000, 0.124, 0.626) and Sn at (0.204, 0.000, 0.000).

***

A relaxed La2Pm6NdDy crystal, computed with PBE-GGA.

The calculation puts the energy of formation from the pure elements at 111 meV per atom. Its density of states at the Fermi level is 1.5199 states/eV per atom. The calculation puts the spin magnetization at 0.00 μB per cell.

The space group is C2/c (No. 15) and the conventional cell measures 9.204, 15.275 and 10.100 Å, with angles of 90.00, 99.96 and 90.00 degrees. The inequivalent atoms are La at (0.242, 0.048, 0.041), Pm at (0.071, 0.191, 0.444), Pm at (0.098, 0.396, 0.620), Pm at (0.202, 0.220, 0.811), Nd at (0.000, 0.012, 0.750) and Dy at (0.000, 0.405, 0.250).

***

A relaxed TcAgCl2 crystal, computed with PBE-GGA.

Its density of states at the Fermi level is 0.5038 states/eV per atom. For the formation energy from raw total energies, the calculation gives 0.291 eV/atom. The calculation puts the spin magnetization at 2.18 μB per cell.

The space group is Cm (No. 8) and the conventional cell measures 13.264, 2.943 and 4.323 Å, with angles of 90.00, 107.53 and 90.00 degrees. The inequivalent atoms are Tc at (0.000, 0.000, 0.000), Ag at (0.196, 0.500, 0.158), Cl at (0.025, 0.500, 0.511) and Cl at (0.344, 0.000, 0.844).